# Li7Mn2Co3O12 (PBE with a Hubbard U, relaxed)
data_Li7Mn2Co3O12
_cell_length_a 5.1206
_cell_length_b 5.8145
_cell_length_c 7.6880
_cell_angle_alpha 100.06
_cell_angle_beta 109.17
_cell_angle_gamma 90.61
_space_group_name_H-M_alt 'P 1'
_space_group_IT_number 1
loop_
_space_group_symop_operation_xyz
'x,y,z'
loop_
_atom_site_label
_atom_site_fract_x
_atom_site_fract_y
_atom_site_fract_z
Li1 0.0000 0.0000 0.0000
Li2 0.0006 0.4899 0.9929
Li3 0.3331 0.8240 0.3215
Li4 0.3447 0.3158 0.3248
Li5 0.6832 0.1523 0.6534
Li6 0.6878 0.6483 0.6513
Li7 0.8436 0.0730 0.3280
Mn1 0.1840 0.4030 0.6523
Mn2 0.4984 0.2439 0.9959
Co1 0.1827 0.9024 0.6532
Co2 0.5199 0.7484 0.0065
Co3 0.8446 0.5712 0.3266
O1 0.1116 0.2143 0.8220
O2 0.1239 0.6914 0.8085
O3 0.2620 0.1184 0.5106
O4 0.2745 0.5947 0.4994
O5 0.4106 0.0381 0.1421
O6 0.4166 0.5186 0.1458
O7 0.5667 0.4416 0.8292
O8 0.5686 0.9677 0.8351
O9 0.8037 0.8447 0.4914
O10 0.8058 0.3745 0.4977
O11 0.8763 0.2952 0.1540
O12 0.8947 0.7684 0.1536
# - Energy above the most stable polymorph in this dataset: 23.8 meV per atom
# - ρ: 4124 kg/m3